Compound: Li4Ti3Nb2Cr3O16
Source: Alexandria via LeMat-Bulk
Functional: PBE with a Hubbard U
Structure: relaxed

Magnetic moment ... 12.0 μB per formula unit
Total DFT energy (no corrections) ... -7.9017 eV per atom

a b c (Å): 10.4288 5.9965 9.7863
angles (deg): 90.00 90.73 90.00
Space group Cm (No. 8)
Inequivalent atoms, fractional coordinates:
Li  0.0000  0.0000  0.0000
Li  0.0063  0.0000  0.4986
Li  0.1733  0.5000  0.5862
Li  0.3422  0.0000  0.0903
Ti  0.3347  0.5000  0.2669
Ti  0.4114  0.2462  0.7711
Nb  0.1624  0.5000  0.9989
Nb  0.3414  0.0000  0.4951
Cr  0.0917  0.2544  0.2793
Cr  0.1701  0.0000  0.7816
O  0.0007  0.0000  0.6851
O  0.0040  0.0000  0.1858
O  0.0279  0.5000  0.1523
O  0.0783  0.2549  0.9021
O  0.1735  0.0000  0.3999
O  0.1815  0.5000  0.3831
O  0.2509  0.2804  0.1517
O  0.2702  0.2282  0.6488
O  0.3355  0.5000  0.8920
O  0.3404  0.0000  0.8843
O  0.4247  0.2526  0.3942
O  0.4866  0.0000  0.6525